Entry from Alexandria via LeMat-Bulk: K3NiGe2O6 after structural relaxation (PBE with a Hubbard U).

energy: -0.186 Ha/atom

The structure in CIF format:
```
data_K3NiGe2O6
_space_group_name_H-M_alt 'P 1'
_space_group_IT_number 1
_cell_length_a 5.875
_cell_length_b 5.875
_cell_length_c 7.035
_cell_angle_alpha 90.00
_cell_angle_beta 90.00
_cell_angle_gamma 120.00
loop_
_space_group_symop_operation_xyz
'x,y,z'
loop_
_atom_site_label
_atom_site_type_symbol
_atom_site_fract_x
_atom_site_fract_y
_atom_site_fract_z
K1 K 0.333 0.667 0.709
K2 K 0.667 0.333 0.291
K3 K 0.000 0.000 0.000
Ni1 Ni 0.000 0.000 0.500
Ge1 Ge 0.667 0.333 0.733
Ge2 Ge 0.333 0.667 0.267
O1 O 0.670 0.835 0.309
O2 O 0.165 0.330 0.309
O3 O 0.165 0.835 0.309
O4 O 0.835 0.670 0.691
O5 O 0.330 0.165 0.691
O6 O 0.835 0.165 0.691
```